P | ## Re2HgBr (PBE-GGA)

Data for an optimized crystal structure of Re2HgBr.

Calculated values
* calculated density: 11.310 Mg/m³
* crystal system: monoclinic
* size of the total moment: 0.00 μB per formula unit

a b c (Å): 3.687 4.852 5.404
angles (deg): 90.00 97.47 90.00
Space group P2/m (No. 10)
Asymmetric unit:
Re1 0.204 0.000 0.360 x2
Hg1 0.500 0.500 0.500 x1
Br1 0.000 0.500 0.000 x1

Q | ## Re2HgBr (PBE-GGA)

Data for an optimized crystal structure of Re2HgBr.

Calculated values
* calculated density: 13.712 Mg/m³
* crystal system: orthorhombic
* size of the total moment: 0.00 μB per formula unit

a b c (Å): 2.911 4.939 10.999
angles (deg): 90.00 90.00 90.00
Space group Cmm2 (No. 35)
Asymmetric unit:
Re1 0.000 0.000 0.000 x2
Re2 0.000 0.500 0.190 x2
Hg1 0.000 0.000 0.441 x2
Br1 0.000 0.500 0.770 x2

R | ## Re2HgBr (PBE-GGA)

Data for an optimized crystal structure of Re2HgBr.

Calculated values
* calculated density: 15.214 Mg/m³
* crystal system: orthorhombic
* size of the total moment: 0.00 μB per formula unit

a b c (Å): 2.844 5.123 9.781
angles (deg): 90.00 90.00 90.00
Space group Cmmm (No. 65)
Asymmetric unit:
Re1 0.000 0.000 0.243 x4
Hg1 0.000 0.500 0.500 x2
Br1 0.000 0.500 0.000 x2

Stability summary - winner: Q; margin: 353 meV per atom.

P | ## ReHg3Br (PBE-GGA)

Data for an optimized crystal structure of ReHg3Br.

Calculated values
* calculated density: 6.536 Mg/m³
* crystal system: cubic
* size of the total moment: 5.19 μB per formula unit

a b c (Å): 6.041 6.041 6.041
angles (deg): 90.00 90.00 90.00
Space group Pm-3m (No. 221)
Asymmetric unit:
Re1 0.000 0.000 0.000 x1
Hg1 0.000 0.500 0.500 x3
Br1 0.500 0.500 0.500 x1

Q | ## ReHg3Br (PBE-GGA)

Data for an optimized crystal structure of ReHg3Br.

Calculated values
* calculated density: 8.939 Mg/m³
* crystal system: cubic
* size of the total moment: 3.27 μB per formula unit

a b c (Å): 5.443 5.443 5.443
angles (deg): 90.00 90.00 90.00
Space group Pm-3m (No. 221)
Asymmetric unit:
Re1 0.000 0.000 0.000 x1
Hg1 0.000 0.000 0.500 x3
Br1 0.500 0.500 0.500 x1

Stability summary - winner: Q; margin: 838 meV per atom.

P | ## ReHgBr (PBE-GGA)

Data for an optimized crystal structure of ReHgBr.

Calculated values
* calculated density: 9.113 Mg/m³
* crystal system: cubic
* size of the total moment: 4.51 μB per formula unit

a b c (Å): 6.981 6.981 6.981
angles (deg): 90.00 90.00 90.00
Space group F-43m (No. 216)
Asymmetric unit:
Re1 0.000 0.000 0.000 x4
Hg1 0.250 0.250 0.250 x4
Br1 0.000 0.000 0.500 x4

Q | ## ReHgBr (PBE-GGA)

Data for an optimized crystal structure of ReHgBr.

Calculated values
* calculated density: 10.653 Mg/m³
* crystal system: cubic
* size of the total moment: 3.19 μB per formula unit

a b c (Å): 6.627 6.627 6.627
angles (deg): 90.00 90.00 90.00
Space group F-43m (No. 216)
Asymmetric unit:
Re1 0.000 0.000 0.000 x4
Hg1 0.250 0.250 0.750 x4
Br1 0.250 0.250 0.250 x4

Stability summary - winner: Q; margin: 399 meV per atom.

P | ## ReHgBr (PBE-GGA)

Data for an optimized crystal structure of ReHgBr.

Calculated values
* calculated density: 11.577 Mg/m³
* crystal system: orthorhombic
* size of the total moment: 0.32 μB per formula unit

a b c (Å): 2.979 5.467 16.439
angles (deg): 90.00 90.00 90.00
Space group Fmm2 (No. 42)
Asymmetric unit:
Re1 0.000 0.000 0.000 x4
Hg1 0.000 0.000 0.650 x4
Br1 0.000 0.000 0.378 x4

Q | ## ReHgBr (PBE-GGA)

Data for an optimized crystal structure of ReHgBr.

Calculated values
* calculated density: 12.224 Mg/m³
* crystal system: tetragonal
* size of the total moment: 0.00 μB per formula unit

a b c (Å): 3.071 3.071 13.444
angles (deg): 90.00 90.00 90.00
Space group I4mm (No. 107)
Asymmetric unit:
Re1 0.000 0.000 0.000 x2
Hg1 0.000 0.000 0.653 x2
Br1 0.000 0.000 0.392 x2

R | ## ReHgBr (PBE-GGA)

Data for an optimized crystal structure of ReHgBr.

Calculated values
* calculated density: 13.462 Mg/m³
* crystal system: hexagonal
* size of the total moment: 0.00 μB per formula unit

a b c (Å): 4.6974 4.6974 3.0126
angles (deg): 90.00 90.00 120.00
Space group P-6m2 (No. 187)
Asymmetric unit:
Re1 0.0000 0.0000 0.0000 x1
Hg1 0.3333 0.6667 0.5000 x1
Br1 0.6667 0.3333 0.0000 x1

S | ## ReHgBr (PBE-GGA)

Data for an optimized crystal structure of ReHgBr.

Calculated values
* calculated density: 12.414 Mg/m³
* crystal system: trigonal
* size of the total moment: 0.00 μB per formula unit

a b c (Å): 3.0500 3.0500 7.7490
angles (deg): 90.00 90.00 120.00
Space group P3m1 (No. 156)
Asymmetric unit:
Re1 0.0000 0.0000 0.0000 x1
Hg1 0.3333 0.6667 0.6919 x1
Br1 0.6667 0.3333 0.2444 x1

Stability summary - winner: S; margin: 81 meV per atom.